Zn2Bi2Br | Alexandria via LeMat-Bulk | PBE-GGA | relaxed; offset from the most stable computed form = 149 meV per atom; space-group type = No. 127
1.0
8.641 0.000 0.000
0.000 8.641 0.000
0.000 0.000 3.522
Br Zn Bi
2 4 4
direct
0.500 0.500 0.000
0.000 0.000 0.000
0.106 0.606 0.500
0.394 0.106 0.500
0.894 0.394 0.500
0.606 0.894 0.500
0.195 0.305 0.000
0.695 0.195 0.000
0.805 0.695 0.000
0.305 0.805 0.000

YNp4Sb5 | Alexandria via LeMat-Bulk | PBE-GGA | relaxed; VASP energy = -8.25 eV per atom; space-group type = No. 71
1.0
4.273 0.000 -0.824
-0.320 5.979 -1.660
0.046 0.028 11.722
Np Sb Y
4 5 1
direct
0.401 0.401 0.802
0.800 0.800 0.600
0.599 0.599 0.198
0.200 0.200 0.400
0.600 0.100 0.201
0.801 0.301 0.601
0.000 0.500 0.000
0.199 0.699 0.399
0.400 0.900 0.799
0.000 0.000 0.000

RbAs2I7 | Alexandria via LeMat-Bulk | PBE-GGA | relaxed; VASP energy = -2.49 eV per atom; space-group type = No. 65
1.0
-3.885 -0.821 -3.873
0.975 -9.876 1.116
-6.444 5.488 5.301
As Rb I
2 1 7
direct
0.500 0.781 0.219
0.500 0.219 0.781
0.000 0.000 0.000
0.500 0.092 0.335
0.000 0.737 0.263
0.500 0.908 0.665
0.500 0.335 0.092
0.500 0.665 0.908
0.000 0.263 0.737
0.500 0.500 0.500

Rb2LiPuO4 | Alexandria via LeMat-Bulk | PBE-GGA | relaxed; VASP energy = -6.86 eV per atom; space-group type = No. 10
1.0
-2.544 1.767 -1.751
-3.991 -2.686 3.088
1.484 5.559 3.454
Rb Li O Pu
2 1 4 1
direct
0.500 0.000 0.500
0.000 0.500 0.500
0.000 0.000 0.000
0.000 0.720 0.172
0.500 0.277 0.183
0.500 0.723 0.817
0.000 0.280 0.828
0.500 0.500 0.000

MgTa2Au | Alexandria via LeMat-Bulk | PBE-GGA | relaxed; E_form = 0.15 eV per atom; space-group type = No. 44
1.0
-3.615 3.924 -1.793
-5.478 -1.248 0.340
4.890 0.871 2.649
Ta Au Mg
2 1 1
direct
0.746 0.246 0.500
0.987 0.987 0.000
0.503 0.503 0.000
0.264 0.764 0.500

Pr2ThSb3Pt4 | Alexandria via LeMat-Bulk | PBE-GGA | relaxed; VASP energy = -6.25 eV per atom; space-group type = No. 115
1.0
4.660 0.000 0.000
0.000 4.660 0.000
0.000 0.000 11.315
Pr Sb Th Pt
2 3 1 4
direct
0.000 0.500 0.796
0.500 0.000 0.204
0.000 0.500 0.125
0.500 0.000 0.875
0.000 0.000 0.500
0.500 0.500 0.500
0.000 0.000 0.000
0.500 0.000 0.645
0.000 0.500 0.355
0.500 0.500 0.000

KBe2Cu | Alexandria via LeMat-Bulk | PBE-GGA | relaxed; E_form = 1.16 eV per atom; offset from the most stable computed form = 939 meV per atom; space-group type = No. 139
1.0
4.755 -0.002 0.000
0.813 4.685 0.000
-2.784 -2.342 3.062
K Cu Be
1 1 2
direct
0.750 0.250 0.500
0.250 0.750 0.500
0.500 0.500 0.000
0.000 0.000 0.000

TaInAs2Br | Alexandria via LeMat-Bulk | PBE-GGA | relaxed; offset from the most stable computed form = 0 meV per atom; space-group type = No. 123
1.0
5.010 0.000 0.000
0.000 5.010 0.000
0.000 0.000 5.438
Br In Ta As
1 1 1 2
direct
0.000 0.000 0.500
0.500 0.500 0.500
0.000 0.000 0.000
0.000 0.500 0.000
0.500 0.000 0.000

Ce2TlAg2 | Alexandria via LeMat-Bulk | PBE-GGA | relaxed; E_form = -0.20 eV per atom; space-group type = No. 65
1.0
3.333 0.000 0.000
0.000 4.848 -0.090
0.000 -2.281 7.758
Ag Ce Tl
2 2 1
direct
0.000 0.202 0.403
0.000 0.798 0.597
0.500 0.383 0.765
0.500 0.617 0.235
0.000 0.000 0.000

Th4Sn3H2 | Alexandria via LeMat-Bulk | PBE-GGA | relaxed; VASP energy = -5.84 eV per atom; space-group type = No. 15
1.0
6.472 0.517 0.370
1.009 8.630 0.218
1.009 2.987 8.099
Sn Th H
6 8 4
direct
0.937 0.003 0.219
0.063 0.997 0.781
0.750 0.495 0.505
0.563 0.781 0.997
0.437 0.219 0.003
0.250 0.505 0.495
0.964 0.331 0.875
0.919 0.775 0.616
0.081 0.225 0.384
0.464 0.875 0.331
0.036 0.669 0.125
0.419 0.616 0.775
0.536 0.125 0.669
0.581 0.384 0.225
0.440 0.130 0.413
0.060 0.587 0.870
0.940 0.413 0.130
0.560 0.870 0.587

PmHo2ScAs4 | Alexandria via LeMat-Bulk | PBE-GGA | relaxed; E_form = -1.46 eV per atom; space-group type = No. 10
1.0
-2.395 -3.041 1.326
5.155 -4.649 -1.350
0.650 2.383 6.636
Ho As Pm Sc
2 4 1 1
direct
0.000 0.500 0.500
0.500 0.000 0.500
0.000 0.240 0.748
0.500 0.761 0.756
0.000 0.760 0.252
0.500 0.239 0.244
0.500 0.500 0.000
0.000 0.000 0.000

Pm5Dy6Ho2 | Alexandria via LeMat-Bulk | PBE-GGA | relaxed; E_form = 0.09 eV per atom; space-group type = No. 55
1.0
3.592 0.000 0.000
0.000 11.650 0.000
0.000 0.000 20.508
Dy Pm Ho
12 10 4
direct
0.000 0.939 0.919
0.000 0.081 0.369
0.500 0.325 0.138
0.500 0.825 0.362
0.500 0.675 0.862
0.000 0.419 0.869
0.000 0.561 0.419
0.000 0.439 0.581
0.000 0.061 0.081
0.500 0.175 0.638
0.000 0.919 0.631
0.000 0.581 0.131
0.500 0.000 0.500
0.500 0.500 0.000
0.500 0.916 0.773
0.500 0.416 0.727
0.500 0.084 0.227
0.500 0.301 0.449
0.500 0.699 0.551
0.500 0.199 0.949
0.500 0.584 0.273
0.500 0.801 0.051
0.000 0.171 0.790
0.000 0.329 0.290
0.000 0.829 0.210
0.000 0.671 0.710

UTiP | Alexandria via LeMat-Bulk | PBE-GGA | relaxed; E_form = -0.65 eV per atom; space-group type = No. 129
1.0
3.417 0.001 0.005
-0.001 3.417 -0.005
-0.007 0.007 8.467
Ti P U
2 2 2
direct
0.750 0.250 0.091
0.250 0.750 0.909
0.751 0.249 0.783
0.249 0.751 0.217
0.750 0.250 0.435
0.250 0.750 0.565

TaGe2AsPt | Alexandria via LeMat-Bulk | PBE-GGA | relaxed; E_form = 0.98 eV per atom; space-group type = No. 123
1.0
-4.056 -2.033 1.125
1.189 -4.059 -3.048
2.064 -2.115 3.621
As Ta Pt Ge
1 1 1 2
direct
0.000 0.500 0.000
0.500 0.500 0.500
0.000 0.000 0.000
0.000 0.000 0.500
0.500 0.000 0.000

Ac3Bi2Te | Alexandria via LeMat-Bulk | PBE-GGA | relaxed; VASP energy = -5.07 eV per atom; space-group type = No. 71
1.0
-3.938 2.594 -1.111
-1.650 0.335 6.629
6.627 4.631 -2.113
Te Ac Bi
1 3 2
direct
0.500 0.500 0.500
0.832 0.332 0.163
0.500 0.000 0.500
0.168 0.668 0.837
0.166 0.166 0.832
0.834 0.834 0.168

CaMgCo2 | Alexandria via LeMat-Bulk | PBE-GGA | relaxed; E_form = 0.20 eV per atom; space-group type = No. 6
1.0
-3.157 -0.019 -2.134
-2.201 -1.192 3.267
-1.926 4.138 2.812
Co Ca Mg
2 1 1
direct
0.000 0.172 0.032
0.500 0.065 0.244
0.500 0.775 0.826
0.000 0.489 0.397

Li2AcEr2Tl2 | Alexandria via LeMat-Bulk | PBE-GGA | relaxed; E_form = -0.19 eV per atom; space-group type = No. 166
1.0
4.929 0.000 0.000
2.465 4.269 0.000
2.465 1.423 9.256
Tl Li Ac Er
2 2 1 2
direct
0.748 0.748 0.757
0.252 0.252 0.243
0.419 0.419 0.742
0.581 0.581 0.258
0.000 0.000 0.000
0.869 0.869 0.394
0.131 0.131 0.606

Cd2RuPt | Alexandria via LeMat-Bulk | PBE-GGA | relaxed; E_form = 0.12 eV per atom; space-group type = No. 65
1.0
-0.947 -4.800 -1.240
4.597 0.184 2.077
-1.143 -0.438 2.568
Pt Cd Ru
1 2 1
direct
0.500 0.000 0.500
0.000 0.000 0.000
0.500 0.500 0.000
0.000 0.500 0.500

Ca2Ag2Sn | Alexandria via LeMat-Bulk | PBE-GGA | relaxed; E_form = -0.31 eV per atom; offset from the most stable computed form = 151 meV per atom; space-group type = No. 139
1.0
-1.627 -0.670 -3.448
0.765 -3.777 0.373
-8.422 -3.446 2.470
Ag Ca Sn
2 2 1
direct
0.750 0.250 0.500
0.250 0.750 0.500
0.392 0.392 0.215
0.608 0.608 0.785
0.000 0.000 0.000

NaY2Se | Alexandria via LeMat-Bulk | PBE-GGA | relaxed; VASP energy = -4.82 eV per atom; space-group type = No. 122
1.0
-2.317 -7.821 2.931
1.251 -3.332 -7.903
2.658 -6.230 -1.706
Y Na Se
4 2 2
direct
0.375 0.303 0.750
0.697 0.125 0.250
0.875 0.947 0.750
0.053 0.625 0.250
0.500 0.500 0.000
0.250 0.750 0.500
0.750 0.250 0.500
0.000 0.000 0.000